Entry 1:
Density functional theory data (PBE) for an optimized crystal structure of AcNbHN2.

Results
SG   P4/mmm (123)
Theoretical density   8.56 Mg/m³
E_tot   -7.783 eV per atom

Lattice parameters (Å, degrees): 3.802 4.220 4.220 90.00 90.00 90.00
Sites, in units of the cell vectors:
Ac (0.500, 0.500, 0.500)
Nb (0.000, 0.000, 0.000)
H (0.500, 0.000, 0.000)
N (0.000, 0.000, 0.500)
N (0.000, 0.500, 0.000)


Entry 2:
Density functional theory data (PBE) for an optimized crystal structure of FeRe2Cl.

Results
Polymorph energy (0 for the lowest one)   0.400 eV per atom
SG   P4/mmm (123)
Theoretical density   13.18 Mg/m³
E_tot   -8.098 eV per atom
ΔE_f (raw)   0.704 eV/atom

Lattice parameters (Å, degrees): 2.978 2.978 6.587 90.00 90.00 90.00
Sites, in units of the cell vectors:
Re (0.000, 0.000, 0.959)
Re (0.000, 0.000, 0.541)
Fe (0.500, 0.500, 0.750)
Cl (0.500, 0.500, 0.250)


Entry 3:
Density functional theory data (PBE) for an optimized crystal structure of Ce4Dy2Bi3N2.

Results
SG   I4/mmm (139)
Theoretical density   8.65 Mg/m³
E_tot   -6.526 eV per atom
ΔE_f (raw)   -0.960 eV/atom

Lattice parameters (Å, degrees): 4.708 4.708 13.750 99.86 99.86 90.00
Sites, in units of the cell vectors:
Ce (0.413, 0.913, 0.826)
Ce (0.913, 0.413, 0.826)
Ce (0.087, 0.587, 0.174)
Ce (0.587, 0.087, 0.174)
Dy (0.306, 0.306, 0.613)
Dy (0.694, 0.694, 0.387)
Bi (0.000, 0.000, 0.000)
Bi (0.184, 0.184, 0.368)
Bi (0.816, 0.816, 0.632)
N (0.391, 0.391, 0.782)
N (0.609, 0.609, 0.218)


Entry 4:
Density functional theory data (PBE) for an optimized crystal structure of SbAuCl2.

Results
Polymorph energy (0 for the lowest one)   0.687 eV per atom
SG   P4/mmm (123)
Theoretical density   7.12 Mg/m³
E_tot   -2.533 eV per atom
ΔE_f (raw)   0.240 eV/atom

Lattice parameters (Å, degrees): 5.394 5.394 3.124 90.00 90.00 90.00
Sites, in units of the cell vectors:
Sb (0.500, 0.000, 0.500)
Au (0.000, 0.500, 0.500)
Cl (0.000, 0.000, 0.000)
Cl (0.500, 0.500, 0.000)


Entry 5:
Density functional theory data (PBE) for an optimized crystal structure of Y5CdRu4.

Results
SG   P4/mmm (123)
Calculated formation energy   -0.33 eV per atom
Theoretical density   7.51 Mg/m³
E_tot   -7.368 eV per atom

Lattice parameters (Å, degrees): 3.434 3.434 18.016 90.00 90.00 90.00
Sites, in units of the cell vectors:
Y (0.500, 0.500, 0.125)
Y (0.500, 0.500, 0.312)
Y (0.500, 0.500, 0.500)
Y (0.500, 0.500, 0.688)
Y (0.500, 0.500, 0.875)
Cd (0.000, 0.000, 0.000)
Ru (0.000, 0.000, 0.213)
Ru (0.000, 0.000, 0.405)
Ru (0.000, 0.000, 0.595)
Ru (0.000, 0.000, 0.787)


Entry 6:
Density functional theory data (PBE) for an optimized crystal structure of PmCrN2.

Results
SG   R-3m (166)
Theoretical density   7.62 Mg/m³
E_tot   -8.537 eV per atom
ΔE_f (raw)   -0.780 eV/atom

Lattice parameters (Å, degrees): 3.305 3.305 5.527 72.61 72.61 60.00
Sites, in units of the cell vectors:
Cr (0.000, 0.000, 0.000)
N (0.266, 0.266, 0.202)
N (0.734, 0.734, 0.798)
Pm (0.500, 0.500, 0.500)


- Which value of E_tot does entry 4 give?
  -2.533 eV per atom